#one
InAs2C, optimized geometry, DFT PBE; density of states at the Fermi level = 0.508 states/eV per atom
1.0
6.254 0.000 0.000
0.000 6.254 0.000
3.127 3.127 3.945
As In C
4 2 2
Direct
0.523 0.125 0.250
0.875 0.773 0.750
0.375 0.477 0.750
0.227 0.625 0.250
0.000 0.000 0.000
0.750 0.250 0.500
0.500 0.500 0.000
0.250 0.750 0.500

=====

#two
InAs2C, optimized geometry, DFT PBE; density of states at the Fermi level = 0.520 states/eV per atom
1.0
-3.150 -2.916 -1.808
-4.198 1.587 -1.244
-1.134 0.300 -4.507
As C In
2 1 1
Direct
0.750 0.750 0.750
0.250 0.250 0.250
0.000 0.000 0.000
0.500 0.500 0.500

=====

The energy of each structure relative to the most stable one, in kJ/mol of atoms, is as follows: #one 0.0; #two 81.9.

=====

#one
In2As2C, optimized geometry, DFT PBE; density of states at the Fermi level = 0.704 states/eV per atom
1.0
-1.117 -2.836 -1.930
3.403 -0.658 -1.002
2.117 -6.514 4.975
As In C
2 2 1
Direct
0.250 0.750 0.500
0.750 0.250 0.500
0.587 0.587 0.827
0.413 0.413 0.173
0.000 0.000 0.000

=====

#two
In2As2C, optimized geometry, DFT PBE; density of states at the Fermi level = 0.503 states/eV per atom
1.0
-4.717 0.919 4.187
-1.526 -6.178 -0.363
3.516 -1.116 4.206
As In C
4 4 2
Direct
0.630 0.870 0.500
0.870 0.370 0.500
0.370 0.130 0.500
0.130 0.630 0.500
0.819 0.319 0.000
0.181 0.681 0.000
0.319 0.181 0.000
0.681 0.819 0.000
0.000 0.000 0.000
0.500 0.500 0.000

=====

The energy of each structure relative to the most stable one, in kJ/mol of atoms, is as follows: #one 17.0; #two 0.0.

=====

#one
InAsCSe2, optimized geometry, DFT PBE; density of states at the Fermi level = 0.917 states/eV per atom
1.0
-4.141 -0.722 1.609
-0.646 -3.201 -3.098
1.675 -3.146 2.901
In Se As C
1 2 1 1
Direct
0.500 0.500 0.500
0.000 0.500 0.000
0.500 0.000 0.000
0.000 0.000 0.500
0.000 0.000 0.000

=====

#two
InAsCSe2, optimized geometry, DFT PBE; density of states at the Fermi level = 1.417 states/eV per atom
1.0
-0.986 0.526 -5.296
-5.320 -0.238 0.967
-0.139 5.386 0.561
Se C As In
2 1 1 1
Direct
0.500 0.000 0.000
0.000 0.500 0.000
0.500 0.500 0.500
0.000 0.000 0.500
0.000 0.000 0.000

=====

The energy of each structure relative to the most stable one, in kJ/mol of atoms, is as follows: #one 0.0; #two 109.6.

=====

#one
AsIrC4, optimized geometry, DFT PBE; density of states at the Fermi level = 0.195 states/eV per atom
1.0
3.830 0.032 -0.001
-1.045 3.786 0.001
-0.875 -0.677 5.131
C Ir As
4 1 1
Direct
0.448 0.770 0.603
0.607 0.941 0.412
0.160 0.453 0.572
0.884 0.218 0.391
0.611 0.971 0.012
0.192 0.354 0.932

=====

#two
AsIrC4, optimized geometry, DFT PBE; density of states at the Fermi level = 0.456 states/eV per atom
1.0
2.495 0.000 0.000
0.000 4.223 0.000
-0.486 -1.810 9.588
C As Ir
4 1 1
Direct
0.447 0.884 0.488
0.947 0.049 0.488
0.447 0.549 0.488
0.947 0.384 0.488
0.444 0.491 0.050
0.419 0.935 0.921

=====

The energy of each structure relative to the most stable one, in kJ/mol of atoms, is as follows: #one 35.1; #two 0.0.

=====

#one
AsIr2C, optimized geometry, DFT PBE; density of states at the Fermi level = 1.425 states/eV per atom
1.0
0.000 2.962 2.962
2.962 0.000 2.962
2.962 2.962 0.000
Ir As C
2 1 1
Direct
0.250 0.250 0.250
0.750 0.750 0.750
0.500 0.500 0.500
0.000 0.000 0.000

=====

#two
AsIr2C, optimized geometry, DFT PBE; density of states at the Fermi level = 0.334 states/eV per atom
1.0
5.023 0.000 0.000
0.000 5.023 0.000
2.512 2.512 5.094
As Ir C
2 4 2
Direct
0.750 0.250 0.500
0.000 0.000 0.000
0.551 0.125 0.250
0.199 0.625 0.250
0.375 0.449 0.750
0.875 0.801 0.750
0.250 0.750 0.500
0.500 0.500 0.000

=====

The energy of each structure relative to the most stable one, in kJ/mol of atoms, is as follows: #one 91.7; #two 0.0.

=====

#one
Li3AsC, optimized geometry, DFT PBE; density of states at the Fermi level = 0.392 states/eV per atom
1.0
4.050 0.000 0.000
0.000 4.050 0.000
0.000 0.000 4.050
Li As C
3 1 1
Direct
0.000 0.500 0.000
0.000 0.000 0.500
0.500 0.000 0.000
0.500 0.500 0.500
0.000 0.000 0.000

=====

#two
Li3AsC, optimized geometry, DFT PBE; density of states at the Fermi level = 0.815 states/eV per atom
1.0
4.787 0.000 0.000
0.000 4.787 0.000
0.000 0.000 4.787
Li C As
3 1 1
Direct
0.000 0.500 0.000
0.500 0.000 0.000
0.000 0.000 0.500
0.500 0.500 0.500
0.000 0.000 0.000

=====

The energy of each structure relative to the most stable one, in kJ/mol of atoms, is as follows: #one 0.0; #two 48.1.